Compound: RbLiCoF6
Source: Alexandria
Functional: PBE+U
Structure: optimized geometry

Computed properties:
The final energy is -4.3426 eV per atom. Its space group is P-31c (163).

```
data_RbLiCoF6
_space_group_name_H-M_alt 'P 1'
_space_group_IT_number 1
_space_group_name_Hall 'P 1'
_cell_length_a 5.196
_cell_length_b 5.196
_cell_length_c 12.153
_cell_angle_alpha 90.00
_cell_angle_beta 90.00
_cell_angle_gamma 120.00
loop_
_atom_site_label
_atom_site_fract_x
_atom_site_fract_y
_atom_site_fract_z
Rb1 0.000 0.000 0.500
Rb2 0.000 0.000 0.000
F1 0.642 0.606 0.164
F2 0.358 0.964 0.664
F3 0.642 0.036 0.336
F4 0.036 0.642 0.836
F5 0.606 0.964 0.836
F6 0.964 0.606 0.336
F7 0.964 0.358 0.164
F8 0.358 0.394 0.836
F9 0.394 0.036 0.164
F10 0.606 0.642 0.664
F11 0.394 0.358 0.336
F12 0.036 0.394 0.664
Co1 0.667 0.333 0.250
Co2 0.333 0.667 0.750
Li1 0.333 0.667 0.250
Li2 0.667 0.333 0.750
```